A plane-wave DFT calculation with PBE-GGA was carried out for a relaxed structure of BeC2.

The structure in POSCAR format:
```
BeC2
1.0
1.2307 0.7106 6.1303
-1.2307 0.7106 6.1303
0.0000 -1.4211 6.1303
Be C
1 2
direct
0.0000 0.0000 0.0000 Be
0.1127 0.1127 0.1127 C
0.4453 0.4453 0.4453 C
```

Properties
The value obtained for the total moment is 0.0 μB per cell. As for the calculated volume: 32.2 Å³ per cell. The value obtained for the calculated formation energy is 397 meV/atom. The value obtained for the relative energy among the computed polymorphs is 0.011 eV/atom. Its space-group type is No. 160.

A plane-wave DFT calculation with PBE-GGA was carried out for a relaxed structure of MgCuPb2.

The structure in POSCAR format:
```
MgCuPb2
1.0
3.2663 0.0000 0.0000
0.0000 3.4525 0.0000
0.0000 0.0000 8.5439
Mg Cu Pb
1 1 2
direct
0.0000 0.0000 0.0000 Mg
0.5000 0.5000 0.1665 Cu
0.0000 0.0000 0.3804 Pb
0.5000 0.5000 0.7352 Pb
```

Properties
The value obtained for the total moment is 0.0 μB per cell. As for the calculated volume: 96.3 Å³ per cell. The value obtained for the calculated formation energy is 35 meV/atom. Its space-group type is No. 25.

Q: What is the calculated formation energy in the first record?
A: 397 meV/atom

Q: Which formula does entry 1 have?
A: BeC2

Please write out number 2 again, unchanged.
A plane-wave DFT calculation with PBE-GGA was carried out for a relaxed structure of MgCuPb2.

The structure in POSCAR format:
```
MgCuPb2
1.0
3.2663 0.0000 0.0000
0.0000 3.4525 0.0000
0.0000 0.0000 8.5439
Mg Cu Pb
1 1 2
direct
0.0000 0.0000 0.0000 Mg
0.5000 0.5000 0.1665 Cu
0.0000 0.0000 0.3804 Pb
0.5000 0.5000 0.7352 Pb
```

Properties
The value obtained for the total moment is 0.0 μB per cell. As for the calculated volume: 96.3 Å³ per cell. The value obtained for the calculated formation energy is 35 meV/atom. Its space-group type is No. 25.